Record 1
VASP calculation (PBE) on an optimized crystal structure of Na2Hg4Pd.

Summary:
theoretical density = 9.10 Mg/m³
formation energy = -92 meV/atom

Cell: 3.6121 27.2046 3.5467 Å, 90.00 90.00 90.00°
With the nearest neighbours (Å) after each atom.
Space group Cmmm (No. 65)
Symmetry-distinct sites (fractional):
Na1 0.0000 0.1909 0.0000 (multiplicity 4)  4 Hg 3.12
Hg1 0.0000 0.0555 0.0000 (multiplicity 4)  4 Pd 2.95, 5 Hg 3.02-3.14
Hg2 0.0000 0.3759 0.5000 (multiplicity 4)  4 Na 3.12, 4 Hg 3.14, 1 Pd 3.38
Pd1 0.0000 0.5000 0.5000 (multiplicity 2)  8 Hg 2.95

=====

Record 2
VASP calculation (PBE) on an optimized crystal structure of Ce2TmZr.

Summary:
theoretical density = 8.06 Mg/m³
formation energy = 234 meV/atom

Cell: 7.6362 7.6362 7.6362 Å, 90.00 90.00 90.00°
With the nearest neighbours (Å) after each atom.
Space group Fm-3m (No. 225)
Symmetry-distinct sites (fractional):
Ce1 0.2500 0.2500 0.2500 (multiplicity 8)  4 Zr 3.31, 4 Tm 3.31
Tm1 0.0000 0.0000 0.0000 (multiplicity 4)  8 Ce 3.31
Zr1 0.0000 0.0000 0.5000 (multiplicity 4)  8 Ce 3.31

=====

Record 3
VASP calculation (PBE) on an optimized crystal structure of CeLuS3.

Summary:
theoretical density = 5.96 Mg/m³
raw formation energy = -2.043 eV/atom

Cell: 3.8555 12.5576 9.4722 Å, 90.00 90.00 90.00°
With the nearest neighbours (Å) after each atom.
Space group Cmcm (No. 63)
Symmetry-distinct sites (fractional):
Ce1 0.0000 0.2487 0.2500 (multiplicity 4)  6 S 2.79-2.95
Lu1 0.0000 0.5000 0.0000 (multiplicity 4)  6 S 2.61-2.69
S1 0.0000 0.1415 0.5645 (multiplicity 8)  2 Lu 2.69, 2 Ce 2.95
S2 0.0000 0.4122 0.7500 (multiplicity 4)  2 Lu 2.61, 2 Ce 2.79

=====

Record 4
VASP calculation (PBE) on an optimized crystal structure of Sr3NdSe4.

Summary:
theoretical density = 5.05 Mg/m³
raw formation energy = -1.981 eV/atom

Cell: 8.7908 12.3937 4.3642 Å, 90.00 90.00 90.00°
With the nearest neighbours (Å) after each atom.
Space group Cmmm (No. 65)
Symmetry-distinct sites (fractional):
Sr1 0.0000 0.0000 0.0000 (multiplicity 2)  6 Se 3.15-3.16
Sr2 0.2500 0.2500 0.5000 (multiplicity 4)  6 Se 3.10
Nd1 0.0000 0.5000 0.0000 (multiplicity 2)  6 Se 3.04-3.05
Se1 0.0000 0.2549 0.0000 (multiplicity 4)  1 Nd 3.04, 5 Sr 3.10-3.16
Se2 0.2421 0.5000 0.5000 (multiplicity 4)  2 Nd 3.05, 4 Sr 3.10-3.15